## Ca2Mn2O5 (PBE+U)

Data for a relaxed structure of Ca2Mn2O5.

Cell and atoms, written as extended XYZ:
```
18
Lattice="8.497 0.000 0.000 0.000 5.403 0.000 0.000 0.000 5.236" Properties=species:S:1:pos:R:3 pbc="T T T"
Ca 0.000 1.132 0.000
Ca 0.000 3.912 2.179
Ca 4.248 1.491 4.797
Ca 4.248 4.271 2.618
Mn 1.935 4.057 4.971
Mn 2.314 1.346 2.353
Mn 6.183 1.346 2.353
Mn 6.562 4.057 4.971
O 0.000 4.274 4.376
O 1.567 2.574 1.011
O 1.583 5.305 1.270
O 2.665 0.098 3.888
O 2.681 2.829 3.629
O 4.248 1.129 1.759
O 5.816 2.829 3.629
O 5.832 0.098 3.888
O 6.914 5.305 1.270
O 6.930 2.574 1.011
```

energy: -6.971 eV per atom
crystal system: orthorhombic
calculated density: 3.7 g cm⁻³